Entry 1:
## Ca2Bi4Pb3 (GGA-PBE)

Data for Ca2Bi4Pb3 after structural relaxation.

Cell: 4.731 6.102 11.322 Å, 71.64 89.78 67.24°
Positions (direct):
Bi: 0.659 0.685 0.892
Bi: 0.341 0.315 0.108
Bi: 0.989 0.025 0.683
Bi: 0.011 0.975 0.317
Ca: 0.318 0.365 0.784
Ca: 0.682 0.635 0.216
Pb: 0.000 0.000 0.000
Pb: 0.657 0.679 0.541
Pb: 0.343 0.321 0.459

Magnetic moment, μB per formula unit: 0.00
Calculated volume, Å³/cell: 283.4
Symmetry: No. 2
Formation energy, meV per atom: -293
Theoretical density, g/cm3: 9.01

***

Entry 2:
## Tb2GaCo5B2 (GGA-PBE)

Data for Tb2GaCo5B2 after structural relaxation.

Cell: 3.051 9.049 9.049 Å, 90.00 90.00 90.00°
Positions (direct):
Co: 0.500 0.932 0.229
Co: 0.500 0.729 0.432
Co: 0.500 0.432 0.271
Co: 0.500 0.500 0.000
Co: 0.500 0.771 0.932
Co: 0.500 0.568 0.729
Co: 0.500 0.000 0.500
Co: 0.500 0.068 0.771
Co: 0.500 0.229 0.068
Co: 0.500 0.271 0.568
B: 0.000 0.882 0.382
B: 0.000 0.618 0.882
B: 0.000 0.118 0.618
B: 0.000 0.382 0.118
Ga: 0.000 0.500 0.500
Ga: 0.000 0.000 0.000
Tb: 0.000 0.178 0.322
Tb: 0.000 0.322 0.822
Tb: 0.000 0.822 0.678
Tb: 0.000 0.678 0.178

Magnetic moment, μB per formula unit: 0.00
Calculated volume, Å³/cell: 249.8
Symmetry: No. 127
Formation energy, meV per atom: -372
Theoretical density, g/cm3: 9.36

***

Number 1: total energy -3.6986 eV per atom. Number 2: total energy -6.4892 eV per atom.